## a
This record from Alexandria via LeMat-Bulk describes InGe2Se after structural relaxation. The functional is PBE.

Cell lengths 7.0193, 7.0193, 7.0193 Å; angles 90.00, 90.00, 90.00 degrees
Last column: nearest neighbours and their distance in Å.
Space group Fm-3m (No. 225)
Unique sites:
In (0.0000, 0.0000, 0.0000) x4  8 Ge 3.04
Ge (0.2500, 0.2500, 0.2500) x8  4 In 3.04, 4 Se 3.04
Se (0.0000, 0.0000, 0.5000) x4  8 Ge 3.04

**Volume**: 345.8 Å³ per cell
**Fermi-level density of states**: 6.9 states/eV/cell
**Calculated density**: 6.5 g cm⁻³


## b
This record from Alexandria via LeMat-Bulk describes InGe2Se after structural relaxation. The functional is PBE.

Cell lengths 6.0595, 6.0595, 12.9158 Å; angles 90.00, 90.00, 90.00 degrees
Last column: nearest neighbours and their distance in Å.
Space group I-42d (No. 122)
Unique sites:
In (0.0000, 0.0000, 0.0000) x4  4 Ge 2.71
Ge (0.2418, 0.2500, 0.6250) x8  2 Se 2.65, 2 In 2.71
Se (0.0000, 0.0000, 0.5000) x4  4 Ge 2.65

**Volume**: 474.2 Å³ per cell
**Fermi-level density of states**: 10.6 states/eV/cell
**Calculated density**: 4.7 g cm⁻³


Which structure is the most stable? The one labeled b.


## a
This record from Alexandria via LeMat-Bulk describes In3SiGe after structural relaxation. The functional is PBE.

Cell lengths 5.2005, 5.2005, 5.2005 Å; angles 90.00, 90.00, 90.00 degrees
Last column: nearest neighbours and their distance in Å.
Space group Pm-3m (No. 221)
Unique sites:
In (0.0000, 0.0000, 0.5000) x3  2 Si 2.60
Si (0.0000, 0.0000, 0.0000) x1  6 In 2.60
Ge (0.5000, 0.5000, 0.5000) x1  12 In 3.68

**Volume**: 140.6 Å³ per cell
**Fermi-level density of states**: 5.3 states/eV/cell
**Calculated density**: 5.3 g cm⁻³


## b
This record from Alexandria via LeMat-Bulk describes In3SiGe after structural relaxation. The functional is PBE.

Cell lengths 5.2885, 5.2885, 5.2885 Å; angles 90.00, 90.00, 90.00 degrees
Last column: nearest neighbours and their distance in Å.
Space group Pm-3m (No. 221)
Unique sites:
In (0.0000, 0.0000, 0.5000) x3  2 Ge 2.64
Si (0.5000, 0.5000, 0.5000) x1  12 In 3.74
Ge (0.0000, 0.0000, 0.0000) x1  6 In 2.64

**Volume**: 147.9 Å³ per cell
**Fermi-level density of states**: 5.0 states/eV/cell
**Calculated density**: 5.0 g cm⁻³


Which structure is the most stable? The one labeled a.


## a
This record from Alexandria via LeMat-Bulk describes In2Si2Ge after structural relaxation. The functional is PBE.

Cell lengths 3.4480, 3.4480, 18.2659 Å; angles 90.00, 90.00, 90.00 degrees
Last column: nearest neighbours and their distance in Å.
Space group I4/mmm (No. 139)
Unique sites:
In (0.0000, 0.0000, 0.1094) x4  4 Si 3.09, 4 Ge 3.15, 4 In 3.45
Si (0.0000, 0.5000, 0.2500) x4  4 Si 2.44
Ge (0.0000, 0.0000, 0.5000) x2  8 In 3.15, 4 Ge 3.45

**Volume**: 217.2 Å³ per cell
**Fermi-level density of states**: 3.5 states/eV/cell
**Calculated density**: 5.5 g cm⁻³


## b
This record from Alexandria via LeMat-Bulk describes In2Si2Ge after structural relaxation. The functional is PBE.

Cell lengths 6.7690, 6.7690, 4.7099 Å; angles 90.00, 90.00, 90.00 degrees
Last column: nearest neighbours and their distance in Å.
Space group P4/mbm (No. 127)
Unique sites:
In (0.1863, 0.3137, 0.0000) x4  6 Si 2.97-3.19
Si (0.1247, 0.6247, 0.5000) x4  1 Si 2.39
Ge (0.0000, 0.0000, 0.5000) x2  4 Si 2.68

**Volume**: 215.8 Å³ per cell
**Fermi-level density of states**: 4.7 states/eV/cell
**Calculated density**: 5.5 g cm⁻³


Which structure is the most stable? The one labeled a.


## a
This record from Alexandria via LeMat-Bulk describes InSiGe3 after structural relaxation. The functional is PBE.

Cell lengths 4.8623, 4.8623, 4.8623 Å; angles 90.00, 90.00, 90.00 degrees
Last column: nearest neighbours and their distance in Å.
Space group Pm-3m (No. 221)
Unique sites:
In (0.0000, 0.0000, 0.0000) x1  12 Ge 3.44
Si (0.5000, 0.5000, 0.5000) x1  6 Ge 2.43
Ge (0.0000, 0.5000, 0.5000) x3  2 Si 2.43

**Volume**: 115.0 Å³ per cell
**Fermi-level density of states**: 3.5 states/eV/cell
**Calculated density**: 5.2 g cm⁻³


## b
This record from Alexandria via LeMat-Bulk describes InSiGe3 after structural relaxation. The functional is PBE.

Cell lengths 5.2046, 5.2046, 5.2046 Å; angles 90.00, 90.00, 90.00 degrees
Last column: nearest neighbours and their distance in Å.
Space group Pm-3m (No. 221)
Unique sites:
In (0.0000, 0.0000, 0.0000) x1  6 Ge 2.60
Si (0.5000, 0.5000, 0.5000) x1  12 Ge 3.68
Ge (0.0000, 0.0000, 0.5000) x3  2 In 2.60

**Volume**: 141.0 Å³ per cell
**Fermi-level density of states**: 3.1 states/eV/cell
**Calculated density**: 4.2 g cm⁻³


Which structure is the most stable? The one labeled a.